Record 1
AcPr2SmTm after structural relaxation. Source: Alexandria via LeMat-Bulk, functional PBE-GGA.

Calculated values
For the calculated density, the calculation gives 7.6 g cm⁻³. As for the formation energy: 44 meV per atom. Its crystal system is monoclinic.

Cell: 6.4938 5.9526 9.9378 Å, 90.00 108.75 90.00°
Last column: nearest neighbours and their distance in Å.
Space group P2_1/m (No. 11)
Symmetry-distinct sites (fractional):
Ac 0.1355 0.2500 0.1050 [2 per cell]  4 Sm 3.71-3.86, 3 Tm 3.71-3.90, 3 Pr 3.71-3.75, 2 Ac 3.73
Pr 0.2649 0.7500 0.6992 [2 per cell]  3 Sm 3.65-3.84, 3 Tm 3.65-3.67, 4 Pr 3.68-3.77, 2 Ac 3.71-3.75
Pr 0.3373 0.2500 0.5005 [2 per cell]  6 Pr 3.65-3.77, 4 Tm 3.66-3.73, 1 Sm 3.70, 1 Ac 3.72
Sm 0.4781 0.7500 0.1069 [2 per cell]  4 Pr 3.65-3.84, 2 Tm 3.70-3.84, 4 Ac 3.71-3.86, 2 Sm 3.72
Tm 0.0652 0.7500 0.3094 [2 per cell]  7 Pr 3.65-3.73, 2 Sm 3.70-3.84, 3 Ac 3.71-3.90

Record 2
Tm6TlTe3As2 after structural relaxation. Source: Alexandria via LeMat-Bulk, functional PBE-GGA.

Calculated values
The formation energy from raw total energies is -1.1838 eV per atom. For the calculated density, the calculation gives 9.0 g cm⁻³. Its crystal system is monoclinic.

Cell: 18.5596 4.1689 8.6290 Å, 90.00 103.91 90.00°
Last column: nearest neighbours and their distance in Å.
Space group C2/m (No. 12)
Symmetry-distinct sites (fractional):
Tm 0.0080 0.0000 0.2483 [4 per cell]  1 As 2.89, 2 Tl 2.97, 3 Te 3.04-3.14
Tm 0.1648 0.5000 0.1068 [4 per cell]  2 As 2.88, 1 Tl 2.98, 3 Te 3.05-3.16
Tm 0.1749 0.5000 0.5671 [4 per cell]  3 As 2.83-2.85, 3 Te 3.12-3.16
Tl 0.0000 0.5000 0.0000 [2 per cell]  6 Tm 2.97-2.98
Te 0.0000 0.5000 0.5000 [2 per cell]  6 Tm 3.04-3.16
Te 0.1665 0.0000 0.8319 [4 per cell]  6 Tm 3.05-3.16
As 0.1682 0.0000 0.3380 [4 per cell]  6 Tm 2.83-2.89

Record 3
BaTa4As after structural relaxation. Source: Alexandria via LeMat-Bulk, functional PBE-GGA.

Calculated values
For the calculated density, the calculation gives 11.6 g cm⁻³. As for the formation energy: 855 meV per atom. Its crystal system is cubic.

Cell: 8.1310 8.1310 8.1310 Å, 90.00 90.00 90.00°
Last column: nearest neighbours and their distance in Å.
Space group F-43m (No. 216)
Symmetry-distinct sites (fractional):
Ba 0.0000 0.0000 0.0000 [4 per cell]  12 Ta 3.36, 4 As 3.52
Ta 0.1281 0.1281 0.6281 [16 per cell]  6 Ta 2.80-2.95
As 0.2500 0.2500 0.2500 [4 per cell]  12 Ta 3.38, 4 Ba 3.52

Record 4
TaZn3Pb after structural relaxation. Source: Alexandria via LeMat-Bulk, functional PBE-GGA.

Calculated values
For the calculated density, the calculation gives 7.5 g cm⁻³. As for the formation energy: 1579 meV per atom. Its crystal system is cubic.

Cell: 5.0676 5.0676 5.0676 Å, 90.00 90.00 90.00°
Last column: nearest neighbours and their distance in Å.
Space group Pm-3m (No. 221)
Symmetry-distinct sites (fractional):
Ta 0.0000 0.0000 0.0000 [1 per cell]  12 Zn 3.58
Zn 0.0000 0.5000 0.5000 [3 per cell]  2 Pb 2.53
Pb 0.5000 0.5000 0.5000 [1 per cell]  6 Zn 2.53

Number 1: N(E_F) 16.30 states/eV/cell, V 364 Å³ per cell, total magnetic moment 0.00 μB/f.u.. Number 2: N(E_F) 6.56 states/eV/cell, V 648 Å³ per cell, total magnetic moment 0.00 μB/f.u.. Number 3: N(E_F) 29.09 states/eV/cell, V 538 Å³ per cell, total magnetic moment 0.00 μB/f.u.. Number 4: N(E_F) 5.62 states/eV/cell, V 130 Å³ per cell, total magnetic moment 2.36 μB/f.u..